The following is a GGA-PBE calculation of HgP5 after structural relaxation, from Alexandria. Values from VASP.

Quantum ESPRESSO input file:
```
&SYSTEM
  ibrav = 0, nat = 6, ntyp = 2
/
ATOMIC_SPECIES
P 30.97 P.upf
Hg 200.59 Hg.upf
ATOMIC_POSITIONS angstrom
P 3.7387 3.7387 5.2990
P 5.2990 5.2990 5.2990
P 5.2990 3.7387 3.7387
P 2.2594 2.2594 2.2594
P 3.7387 5.2990 3.7387
Hg 0.0000 0.0000 0.0000
CELL_PARAMETERS angstrom
0.0000 4.5188 4.5188
4.5188 0.0000 4.5188
4.5188 4.5188 0.0000
```

The energy of formation from the pure elements comes out at 0.67 eV per atom. For the distance to the lowest polymorph of the same formula, the calculation gives 0.419 eV per atom.